1.
The following is a PBE-GGA calculation of Ca2SnS4 after structural relaxation, from Alexandria via LeMat-Bulk.

Results
* energy above the most stable polymorph in this dataset: 278 meV/atom
* final energy: -4.62 eV per atom
* ΔE_f (raw): -108.1 kJ/mol of atoms

Cell lengths 13.5625, 3.6299, 13.5412 Å; angles 90.00, 90.00, 90.00 degrees
Last column: nearest neighbours and their distance in Å.
Space group Pnma (No. 62)
Inequivalent atoms, fractional coordinates:
Ca 0.1111 0.2500 0.0669 (multiplicity 4)  6 S 2.73-2.96
Ca 0.1201 0.2500 0.7049 (multiplicity 4)  6 S 2.68-2.95
Sn 0.1516 0.7500 0.3854 (multiplicity 4)  6 S 2.64-2.73
S 0.0105 0.2500 0.3880 (multiplicity 4)  2 Sn 2.64, 2 Ca 2.83
S 0.0293 0.2500 0.8803 (multiplicity 4)  4 Ca 2.68-2.76
S 0.2240 0.2500 0.2529 (multiplicity 4)  2 Sn 2.73, 3 Ca 2.86-2.95
S 0.2245 0.2500 0.5135 (multiplicity 4)  2 Sn 2.70, 3 Ca 2.95-2.96



2.
The following is a PBE-GGA calculation of Tc3Br after structural relaxation, from Alexandria via LeMat-Bulk.

Results
* energy above the most stable polymorph in this dataset: 0 meV/atom
* final energy: -7.68 eV per atom
* ΔE_f (raw): 49.2 kJ/mol of atoms

Cell lengths 2.8988, 2.8988, 25.8092 Å; angles 90.00, 90.00, 120.00 degrees
Last column: nearest neighbours and their distance in Å.
Space group R-3m (No. 166, hexagonal axes)
Inequivalent atoms, fractional coordinates:
Tc 0.0000 0.0000 0.0000 (multiplicity 3)  12 Tc 2.69-2.90
Tc 0.0000 0.0000 0.2516 (multiplicity 6)  9 Tc 2.69-2.90, 3 Br 2.76
Br 0.0000 0.0000 0.5000 (multiplicity 3)  6 Tc 2.76, 6 Br 2.90



3.
The following is a PBE-GGA calculation of MgCd4Hg4 after structural relaxation, from Alexandria via LeMat-Bulk.

Results
* energy above the most stable polymorph in this dataset: 0 meV/atom
* final energy: -0.74 eV per atom
* formation enthalpy at 0 K: -0.020 eV per atom

Cell lengths 11.6289, 11.6289, 3.1162 Å; angles 90.00, 90.00, 90.00 degrees
Last column: nearest neighbours and their distance in Å.
Space group I4/m (No. 87)
Inequivalent atoms, fractional coordinates:
Mg 0.0000 0.0000 0.0000 (multiplicity 2)  8 Hg 3.02, 2 Mg 3.12
Cd 0.0514 0.6587 0.0000 (multiplicity 8)  6 Cd 3.12-3.15, 5 Hg 3.18-3.30
Hg 0.1362 0.1764 0.5000 (multiplicity 8)  2 Mg 3.02, 2 Hg 3.12, 5 Cd 3.18-3.30



4.
The following is a PBE-GGA calculation of Ti5NbGa6 after structural relaxation, from Alexandria via LeMat-Bulk.

Results
* energy above the most stable polymorph in this dataset: 128 meV/atom
* final energy: -5.83 eV per atom
* formation enthalpy at 0 K: -0.191 eV per atom

Cell lengths 7.1838, 8.6472, 6.7206 Å; angles 90.00, 97.78, 90.00 degrees
Last column: nearest neighbours and their distance in Å.
Space group C2/m (No. 12)
Inequivalent atoms, fractional coordinates:
Ti 0.0000 0.0000 0.0000 (multiplicity 2)  6 Ga 2.60-2.69, 2 Ti 2.88
Ti 0.0000 0.1697 0.5000 (multiplicity 4)  6 Ga 2.62-2.71, 1 Nb 2.86
Ti 0.0000 0.3329 0.0000 (multiplicity 4)  6 Ga 2.62-2.71, 2 Ti 2.88-2.89
Nb 0.0000 0.5000 0.5000 (multiplicity 2)  6 Ga 2.64-2.72, 2 Ti 2.86
Ga 0.2473 0.0000 0.7520 (multiplicity 4)  5 Ti 2.60-2.71, 1 Nb 2.64, 2 Ga 2.88
Ga 0.2479 0.1668 0.2477 (multiplicity 8)  5 Ti 2.62-2.71, 1 Nb 2.72, 2 Ga 2.88



5.
The following is a PBE-GGA calculation of YGa2Mo after structural relaxation, from Alexandria via LeMat-Bulk.

Results
* energy above the most stable polymorph in this dataset: 0 meV/atom
* final energy: -5.94 eV per atom
* formation enthalpy at 0 K: -0.100 eV per atom

Cell lengths 6.6781, 6.6781, 6.6781 Å; angles 90.00, 90.00, 90.00 degrees
Last column: nearest neighbours and their distance in Å.
Space group Fm-3m (No. 225)
Inequivalent atoms, fractional coordinates:
Y 0.0000 0.0000 0.0000 (multiplicity 4)  8 Ga 2.89
Ga 0.2500 0.2500 0.2500 (multiplicity 8)  4 Mo 2.89, 4 Y 2.89
Mo 0.0000 0.0000 0.5000 (multiplicity 4)  8 Ga 2.89



6.
The following is a PBE-GGA calculation of Li6Hg5 after structural relaxation, from Alexandria via LeMat-Bulk.

Results
* final energy: -1.50 eV per atom
* formation enthalpy at 0 K: -0.317 eV per atom

Cell lengths 7.9978, 14.0464, 4.7116 Å; angles 90.00, 125.84, 90.00 degrees
Last column: nearest neighbours and their distance in Å.
Space group C2/m (No. 12)
Inequivalent atoms, fractional coordinates:
Li 0.2379 0.0000 0.2400 (multiplicity 4)  6 Hg 2.86-2.91, 1 Li 3.09
Li 0.2414 0.1598 0.7421 (multiplicity 8)  7 Hg 2.80-2.91, 1 Li 3.13
Hg 0.0000 0.1712 0.0000 (multiplicity 4)  8 Li 2.82-2.91
Hg 0.0000 0.3323 0.5000 (multiplicity 4)  8 Li 2.88-2.91
Hg 0.0000 0.5000 0.0000 (multiplicity 2)  8 Li 2.80-2.91



7.
The following is a PBE-GGA calculation of Cr3IrPd after structural relaxation, from Alexandria via LeMat-Bulk.

Results
* energy above the most stable polymorph in this dataset: 0 meV/atom
* final energy: -7.12 eV per atom
* formation enthalpy at 0 K: 1.466 eV per atom

Cell lengths 4.4715, 4.4715, 4.4715 Å; angles 90.00, 90.00, 90.00 degrees
Last column: nearest neighbours and their distance in Å.
Space group Pm-3m (No. 221)
Inequivalent atoms, fractional coordinates:
Cr 0.0000 0.0000 0.5000 (multiplicity 3)  2 Ir 2.24
Ir 0.0000 0.0000 0.0000 (multiplicity 1)  6 Cr 2.24
Pd 0.5000 0.5000 0.5000 (multiplicity 1)  12 Cr 3.16



8.
The following is a PBE-GGA calculation of CdMo2N after structural relaxation, from Alexandria via LeMat-Bulk.

Results
* energy above the most stable polymorph in this dataset: 1168 meV/atom
* final energy: -6.25 eV per atom
* ΔE_f (raw): 142.3 kJ/mol of atoms

Cell lengths 6.1431, 6.1431, 6.1431 Å; angles 90.00, 90.00, 90.00 degrees
Last column: nearest neighbours and their distance in Å.
Space group Fm-3m (No. 225)
Inequivalent atoms, fractional coordinates:
Cd 0.0000 0.0000 0.0000 (multiplicity 4)  8 Mo 2.66
Mo 0.2500 0.2500 0.2500 (multiplicity 8)  4 N 2.66, 4 Cd 2.66
N 0.0000 0.0000 0.5000 (multiplicity 4)  8 Mo 2.66



no.,calculated volume (Å³/f.u.),density of states at the Fermi level (states/eV per cell)
1,166.7,9.93
2,62.6,17.54
3,210.7,6.72
4,206.8,20.84
5,74.5,20.39
6,214.6,8.55
7,89.4,7.88
8,58.0,18.22